This record from the Alexandria database describes Tb4DyMg3 after structural relaxation. The functional is PBE.

Cell: 3.789 5.464 11.041 Å, 90.00 90.00 90.00°
Fractional coordinates of all 8 atoms:
Dy (0.500, 0.500, 0.000)
Mg (0.500, 0.500, 0.500)
Mg (0.500, 0.000, 0.251)
Mg (0.500, 0.000, 0.749)
Tb (0.000, 0.000, 0.500)
Tb (0.000, 0.500, 0.261)
Tb (0.000, 0.000, 0.000)
Tb (0.000, 0.500, 0.739)

* E_tot: -3.504 eV per atom
* total moment: 0.000 μB per atom

=====

This record from the Alexandria database describes PmYSbAs after structural relaxation. The functional is PBE.

Cell: 4.297 4.297 7.509 Å, 73.38 73.38 60.00°
Fractional coordinates of all 4 atoms:
Y (0.745, 0.745, 0.766)
As (0.002, 0.002, 0.994)
Pm (0.256, 0.256, 0.233)
Sb (0.498, 0.498, 0.507)

* energy relative to the elements, uncorrected: -1.34 eV/atom
* total moment: 0.000 μB per atom

=====

This record from the Alexandria database describes Ce4TcRu after structural relaxation. The functional is PBE.

Cell: 5.791 6.402 8.727 Å, 90.00 121.34 90.00°
Fractional coordinates of all 12 atoms:
Ce (0.099, 0.976, 0.806)
Ce (0.099, 0.524, 0.806)
Ce (0.614, 0.250, 0.826)
Ce (0.901, 0.476, 0.194)
Ce (0.426, 0.750, 0.582)
Ce (0.386, 0.750, 0.174)
Ce (0.901, 0.024, 0.194)
Ce (0.574, 0.250, 0.418)
Tc (0.684, 0.750, 0.917)
Tc (0.316, 0.250, 0.083)
Ru (0.824, 0.750, 0.458)
Ru (0.176, 0.250, 0.542)

* energy above the most stable polymorph in this dataset: 0.0 meV per atom
* total moment: 0.001 μB per atom

=====

This record from the Alexandria database describes Y2SnAu after structural relaxation. The functional is PBE.

Cell: 3.642 3.642 7.567 Å, 90.00 90.00 90.00°
Fractional coordinates of all 4 atoms:
Au (0.500, 0.500, 0.500)
Y (0.000, 0.000, 0.737)
Y (0.000, 0.000, 0.263)
Sn (0.500, 0.500, 0.000)

* E_tot: -5.802 eV per atom
* total moment: 0.000 μB per atom

=====

This record from the Alexandria database describes Sm3Cd2Au3 after structural relaxation. The functional is PBE.

Cell: 5.933 8.837 8.837 Å, 120.00 90.00 90.00°
Fractional coordinates of all 16 atoms:
Cd (0.500, 0.667, 0.333)
Cd (0.000, 0.333, 0.667)
Cd (0.000, 0.667, 0.333)
Cd (0.500, 0.333, 0.667)
Au (0.250, 0.000, 0.376)
Au (0.250, 0.624, 0.624)
Au (0.750, 0.000, 0.624)
Au (0.750, 0.376, 0.376)
Au (0.750, 0.624, 0.000)
Au (0.250, 0.376, 0.000)
Sm (0.250, 0.283, 0.283)
Sm (0.750, 0.000, 0.283)
Sm (0.250, 0.717, 0.000)
Sm (0.750, 0.717, 0.717)
Sm (0.750, 0.283, 0.000)
Sm (0.250, 0.000, 0.717)

* energy above the most stable polymorph in this dataset: 0.0 meV per atom
* total moment: 0.000 μB per atom

=====

This record from the Alexandria database describes Nd2PuCu after structural relaxation. The functional is PBE.

Cell: 3.563 3.563 8.597 Å, 90.00 90.00 90.00°
Fractional coordinates of all 4 atoms:
Nd (0.000, 0.000, 0.791)
Nd (0.000, 0.000, 0.209)
Pu (0.500, 0.500, 0.500)
Cu (0.500, 0.500, 0.000)

* energy above the most stable polymorph in this dataset: 0.0 meV per atom
* total moment: 1.612 μB per atom

=====

This record from the Alexandria database describes Cr3NiBi after structural relaxation. The functional is PBE.

Cell: 5.216 5.216 5.216 Å, 90.00 90.00 90.00°
Fractional coordinates of all 5 atoms:
Cr (0.000, 0.000, 0.500)
Cr (0.500, 0.000, 0.000)
Cr (0.000, 0.500, 0.000)
Bi (0.000, 0.000, 0.000)
Ni (0.500, 0.500, 0.500)

* energy above the most stable polymorph in this dataset: 898.6 meV per atom
* total moment: 2.737 μB per atom

=====

This record from the Alexandria database describes VGeBi3 after structural relaxation. The functional is PBE.

Cell: 5.472 5.472 5.472 Å, 90.00 90.00 90.00°
Fractional coordinates of all 5 atoms:
Ge (0.000, 0.000, 0.000)
Bi (0.000, 0.500, 0.000)
Bi (0.500, 0.000, 0.000)
Bi (0.000, 0.000, 0.500)
V (0.500, 0.500, 0.500)

* energy above the most stable polymorph in this dataset: 436.5 meV per atom
* total moment: 0.730 μB per atom

=====

This record from the Alexandria database describes DyB3Mo after structural relaxation. The functional is PBE.

Cell: 3.190 3.538 10.126 Å, 100.06 90.00 90.00°
Fractional coordinates of all 10 atoms:
Dy (0.750, 0.926, 0.851)
Dy (0.250, 0.074, 0.149)
B (0.750, 0.327, 0.655)
B (0.250, 0.673, 0.345)
B (0.250, 0.478, 0.955)
B (0.750, 0.522, 0.045)
B (0.250, 0.375, 0.750)
B (0.750, 0.625, 0.250)
Mo (0.250, 0.792, 0.585)
Mo (0.750, 0.208, 0.415)

* energy above the most stable polymorph in this dataset: 169.7 meV per atom
* total moment: 0.000 μB per atom

=====

This record from the Alexandria database describes Cr2SN after structural relaxation. The functional is PBE.

Cell: 3.105 3.105 5.607 Å, 73.93 73.93 60.00°
Fractional coordinates of all 4 atoms:
S (0.000, 0.000, 0.000)
Cr (0.223, 0.223, 0.331)
Cr (0.777, 0.777, 0.669)
N (0.500, 0.500, 0.500)

* energy relative to the elements, uncorrected: -0.34 eV/atom
* energy above the most stable polymorph in this dataset: 49.2 meV per atom
* total moment: 0.671 μB per atom

=====

This record from the Alexandria database describes MnV2InH after structural relaxation. The functional is PBE.

Cell: 3.849 3.849 4.189 Å, 90.00 90.00 90.00°
Fractional coordinates of all 5 atoms:
In (0.500, 0.500, 0.500)
V (0.500, 0.000, 0.000)
V (0.000, 0.500, 0.000)
H (0.000, 0.000, 0.000)
Mn (0.000, 0.000, 0.500)

* E_tot: -6.655 eV per atom
* total moment: 0.459 μB per atom

=====

This record from the Alexandria database describes SiPdI2N after structural relaxation. The functional is PBE.

Cell: 5.699 5.699 3.768 Å, 90.00 90.00 90.00°
Fractional coordinates of all 5 atoms:
N (0.000, 0.000, 0.500)
Pd (0.000, 0.000, 0.000)
I (0.000, 0.500, 0.000)
I (0.500, 0.000, 0.000)
Si (0.500, 0.500, 0.500)

* energy relative to the elements, uncorrected: 0.92 eV/atom
* energy above the most stable polymorph in this dataset: 533.3 meV per atom
* total moment: 0.000 μB per atom

=====

This record from the Alexandria database describes Th2TiGe3Pt4 after structural relaxation. The functional is PBE.

Cell: 4.281 4.281 10.616 Å, 90.00 90.00 90.00°
Fractional coordinates of all 10 atoms:
Th (0.500, 0.000, 0.240)
Th (0.000, 0.500, 0.760)
Pt (0.000, 0.500, 0.365)
Pt (0.500, 0.000, 0.635)
Pt (0.500, 0.500, 0.000)
Pt (0.000, 0.000, 0.000)
Ge (0.000, 0.500, 0.134)
Ge (0.000, 0.000, 0.500)
Ge (0.500, 0.000, 0.866)
Ti (0.500, 0.500, 0.500)

* E_tot: -7.024 eV per atom
* total moment: 0.000 μB per atom

=====

This record from the Alexandria database describes Pm2NiSe after structural relaxation. The functional is PBE.

Cell: 4.023 4.023 7.560 Å, 74.57 74.57 60.00°
Fractional coordinates of all 4 atoms:
Pm (0.742, 0.742, 0.773)
Pm (0.258, 0.258, 0.227)
Ni (0.000, 0.000, 0.000)
Se (0.500, 0.500, 0.500)

* energy relative to the elements, uncorrected: -0.99 eV/atom
* energy above the most stable polymorph in this dataset: 64.6 meV per atom
* total moment: 0.000 μB per atom

=====

This record from the Alexandria database describes Ba3Pt2Au4 after structural relaxation. The functional is PBE.

Cell: 4.787 6.443 9.282 Å, 104.43 90.00 111.80°
Fractional coordinates of all 9 atoms:
Au (0.721, 0.441, 0.062)
Au (0.947, 0.895, 0.618)
Au (0.053, 0.105, 0.382)
Au (0.279, 0.559, 0.938)
Ba (0.670, 0.340, 0.660)
Ba (0.000, 0.000, 0.000)
Ba (0.330, 0.660, 0.340)
Pt (0.394, 0.787, 0.720)
Pt (0.606, 0.213, 0.280)

* E_tot: -4.129 eV per atom
* total moment: 0.000 μB per atom

=====

This record from the Alexandria database describes Mn3MoC after structural relaxation. The functional is PBE.

Cell: 3.788 3.788 3.788 Å, 90.00 90.00 90.00°
Fractional coordinates of all 5 atoms:
Mn (0.000, 0.000, 0.500)
Mn (0.500, 0.000, 0.000)
Mn (0.000, 0.500, 0.000)
Mo (0.500, 0.500, 0.500)
C (0.000, 0.000, 0.000)

* energy above the most stable polymorph in this dataset: 0.0 meV per atom
* total moment: 0.000 μB per atom

=====

This record from the Alexandria database describes SrTbIrAu after structural relaxation. The functional is PBE.

Cell: 5.088 5.088 5.088 Å, 60.00 60.00 60.00°
Fractional coordinates of all 4 atoms:
Au (0.750, 0.750, 0.750)
Tb (0.000, 0.000, 0.000)
Ir (0.250, 0.250, 0.250)
Sr (0.500, 0.500, 0.500)

* E_tot: -5.137 eV per atom
* total moment: 0.000 μB per atom

=====

This record from the Alexandria database describes Nd11Tl4In9 after structural relaxation. The functional is PBE.

Cell: 3.782 14.183 14.183 Å, 112.59 90.00 90.00°
Fractional coordinates of all 24 atoms:
In (0.500, 0.024, 0.203)
In (0.500, 0.167, 0.617)
In (0.500, 0.500, 0.500)
In (0.500, 0.203, 0.024)
In (0.500, 0.833, 0.383)
In (0.500, 0.797, 0.976)
In (0.500, 0.617, 0.167)
In (0.500, 0.976, 0.797)
In (0.500, 0.383, 0.833)
Nd (0.000, 0.000, 0.000)
Nd (0.000, 0.624, 0.376)
Nd (0.000, 0.376, 0.624)
Nd (0.000, 0.405, 0.047)
Nd (0.000, 0.181, 0.819)
Nd (0.000, 0.239, 0.239)
Nd (0.000, 0.761, 0.761)
Nd (0.000, 0.953, 0.595)
Nd (0.000, 0.047, 0.405)
Nd (0.000, 0.595, 0.953)
Nd (0.000, 0.819, 0.181)
Tl (0.500, 0.572, 0.754)
Tl (0.500, 0.754, 0.572)
Tl (0.500, 0.428, 0.246)
Tl (0.500, 0.246, 0.428)

* E_tot: -4.024 eV per atom
* total moment: 0.000 μB per atom

=====

This record from the Alexandria database describes IrAuSe2 after structural relaxation. The functional is PBE.

Cell: 11.005 11.005 4.917 Å, 90.00 90.00 165.05°
Fractional coordinates of all 8 atoms:
Au (0.305, 0.695, 0.250)
Au (0.695, 0.305, 0.750)
Se (0.164, 0.836, 0.250)
Se (0.067, 0.933, 0.750)
Se (0.836, 0.164, 0.750)
Se (0.933, 0.067, 0.250)
Ir (0.043, 0.957, 0.250)
Ir (0.957, 0.043, 0.750)

* energy relative to the elements, uncorrected: 0.24 eV/atom
* total moment: 0.000 μB per atom

=====

This record from the Alexandria database describes Pm4Er3Sc4 after structural relaxation. The functional is PBE.

Cell: 3.430 5.482 17.515 Å, 81.01 84.38 89.99°
Fractional coordinates of all 11 atoms:
Er (0.136, 0.636, 0.729)
Er (0.000, 0.000, 0.000)
Er (0.864, 0.364, 0.271)
Pm (0.731, 0.731, 0.538)
Pm (0.269, 0.269, 0.462)
Pm (0.591, 0.091, 0.818)
Pm (0.409, 0.909, 0.182)
Sc (0.319, 0.819, 0.361)
Sc (0.681, 0.181, 0.639)
Sc (0.455, 0.456, 0.088)
Sc (0.545, 0.544, 0.912)

* E_tot: -5.195 eV per atom
* total moment: 0.000 μB per atom

=====

This record from the Alexandria database describes Pr4Mg3Sn after structural relaxation. The functional is PBE.

Cell: 5.511 5.511 9.578 Å, 73.28 73.28 60.00°
Fractional coordinates of all 8 atoms:
Pr (0.124, 0.124, 0.629)
Pr (0.626, 0.626, 0.122)
Pr (0.374, 0.374, 0.878)
Pr (0.876, 0.876, 0.371)
Mg (0.500, 0.500, 0.500)
Mg (0.246, 0.246, 0.263)
Mg (0.754, 0.754, 0.737)
Sn (0.000, 0.000, 0.000)

* E_tot: -3.774 eV per atom
* total moment: 0.000 μB per atom

=====

This record from the Alexandria database describes Ba6Si2Sn after structural relaxation. The functional is PBE.

Cell: 9.948 9.948 9.948 Å, 107.02 108.74 112.71°
Fractional coordinates of all 18 atoms:
Ba (0.794, 0.225, 0.019)
Ba (0.898, 0.715, 0.183)
Ba (0.794, 0.775, 0.569)
Ba (0.206, 0.775, 0.981)
Ba (0.206, 0.225, 0.431)
Ba (0.701, 0.023, 0.322)
Ba (0.532, 0.715, 0.817)
Ba (0.468, 0.285, 0.183)
Ba (0.102, 0.285, 0.817)
Ba (0.701, 0.379, 0.678)
Ba (0.299, 0.977, 0.678)
Ba (0.299, 0.621, 0.322)
Sn (0.000, 0.000, 0.000)
Sn (0.000, 0.500, 0.500)
Si (0.500, 0.603, 0.103)
Si (0.500, 0.397, 0.897)
Si (0.609, 0.000, 0.609)
Si (0.391, 0.000, 0.391)

* energy relative to the elements, uncorrected: -0.36 eV/atom
* total moment: 0.144 μB per atom

=====

This record from the Alexandria database describes AcLa2Pm2Er after structural relaxation. The functional is PBE.

Cell: 5.845 7.317 10.155 Å, 90.00 90.00 90.00°
Fractional coordinates of all 12 atoms:
Ac (0.000, 0.008, 0.500)
Ac (0.000, 0.508, 0.500)
La (0.500, 0.508, 0.999)
La (0.000, 0.258, 0.165)
La (0.000, 0.758, 0.835)
La (0.500, 0.008, 0.001)
Pm (0.500, 0.758, 0.670)
Pm (0.500, 0.258, 0.330)
Pm (0.000, 0.257, 0.835)
Pm (0.000, 0.757, 0.165)
Er (0.500, 0.257, 0.667)
Er (0.500, 0.757, 0.333)

* E_tot: -4.616 eV per atom
* total moment: 0.000 μB per atom

=====

This record from the Alexandria database describes CuPSN2 after structural relaxation. The functional is PBE.

Cell: 3.596 3.596 6.148 Å, 90.00 90.00 90.00°
Fractional coordinates of all 5 atoms:
S (0.000, 0.000, 0.500)
P (0.500, 0.500, 0.500)
Cu (0.000, 0.000, 0.000)
N (0.000, 0.500, 0.000)
N (0.500, 0.000, 0.000)

* energy relative to the elements, uncorrected: 1.69 eV/atom
* energy above the most stable polymorph in this dataset: 1033.9 meV per atom
* total moment: 0.457 μB per atom